Version i
Al2ReSi2 | OQMD via LeMat-Bulk | GGA-PBE | relaxed; V = 75.3 Å³ per cell; space-group type = I4/mmm (139); calculated density = 6532 kg/m³
1.0
-1.766 1.766 6.040
1.766 -1.766 6.040
1.766 1.766 -6.040
Al Re Si
2 1 2
direct
0.250 0.750 0.500
0.750 0.250 0.500
0.000 0.000 0.000
0.403 0.403 0.000
0.597 0.597 0.000



Version ii
Al2ReSi2 | OQMD via LeMat-Bulk | GGA-PBE | relaxed; V = 74.7 Å³ per cell; space-group type = I4/mmm (139); calculated density = 6591 kg/m³
1.0
-1.696 1.696 6.492
1.696 -1.696 6.492
1.696 1.696 -6.492
Al Re Si
2 1 2
direct
0.095 0.095 0.000
0.905 0.905 0.000
0.500 0.500 0.000
0.250 0.750 0.500
0.750 0.250 0.500



So which one wins? Going from most stable to least: version ii, version i.